Compound: Ta2Sb2As
Source: Alexandria
Functional: GGA-PBE
Structure: relaxed Values from VASP.

Geometry as Quantum ESPRESSO input:
```
&SYSTEM
  ibrav = 0, nat = 10, ntyp = 3
/
ATOMIC_SPECIES
Sb 121.76 Sb.upf
As 74.92 As.upf
Ta 180.95 Ta.upf
CELL_PARAMETERS angstrom
-4.729 -3.252 4.769
3.603 -6.480 -0.846
2.258 0.884 2.842
ATOMIC_POSITIONS crystal
Sb 0.148 0.648 0.500
Sb 0.648 0.852 0.500
Sb 0.852 0.352 0.500
Sb 0.352 0.148 0.500
As 0.000 0.000 0.000
As 0.500 0.500 0.000
Ta 0.353 0.853 0.000
Ta 0.853 0.647 0.000
Ta 0.647 0.147 0.000
Ta 0.147 0.353 0.000
```

As for the raw formation energy: 0.13 eV/atom. The calculation puts the electronic total energy at -71.88 eV/cell. For the density of states at the Fermi level, the calculation gives 0.507 states/eV/atom.